1.
First-principles (PBE) data for a relaxed PmAgSb crystal, as listed in OQMD via LeMat-Bulk.

Cell: 5.0610 5.0610 5.0610 Å, 60.00 60.00 60.00°
Fractional coordinates of all 3 atoms:
Ag  0.5000  0.5000  0.5000
Pm  0.2500  0.2500  0.2500
Sb  0.0000  0.0000  0.0000

Calculated values
Excess energy over the best structure of this formula in the dataset in meV per atom: 172
Electronic total energy in eV/atom: -4.257
SG: No. 216

***

2.
First-principles (PBE) data for a relaxed PmSiAg crystal, as listed in OQMD via LeMat-Bulk.

Cell: 7.2872 4.3119 8.1271 Å, 90.00 90.00 90.00°
Fractional coordinates of all 12 atoms:
Ag  0.6536  0.7500  0.0626
Ag  0.1536  0.7500  0.4374
Ag  0.8464  0.2500  0.5626
Ag  0.3464  0.2500  0.9374
Pm  0.9817  0.2500  0.1893
Pm  0.4817  0.2500  0.3107
Pm  0.5183  0.7500  0.6893
Pm  0.0183  0.7500  0.8107
Si  0.2650  0.7500  0.1155
Si  0.7650  0.7500  0.3845
Si  0.2350  0.2500  0.6155
Si  0.7350  0.2500  0.8845

Calculated values
Excess energy over the best structure of this formula in the dataset in meV per atom: 0
Electronic total energy in eV/atom: -4.888
SG: No. 62

***

3.
First-principles (PBE) data for a relaxed Pm2Si3Ag crystal, as listed in OQMD via LeMat-Bulk.

Cell: 8.3330 8.3124 5.9247 Å, 69.34 68.96 41.70°
Fractional coordinates of all 12 atoms:
Ag  0.8343  0.8343  0.1657
Ag  0.1657  0.1657  0.8343
Pm  0.2500  0.2500  0.2500
Pm  0.2579  0.7421  0.2579
Pm  0.7421  0.2579  0.7421
Pm  0.7500  0.7500  0.7500
Si  0.8276  0.3360  0.1724
Si  0.6640  0.1724  0.3360
Si  0.6635  0.6635  0.3365
Si  0.3365  0.3365  0.6635
Si  0.3360  0.8276  0.6640
Si  0.1724  0.6640  0.8276

Calculated values
Electronic total energy in eV/atom: -5.427
SG: No. 69

***

4.
First-principles (PBE) data for a relaxed PmSiAg crystal, as listed in OQMD via LeMat-Bulk.

Cell: 4.8288 4.8288 4.8288 Å, 60.00 60.00 60.00°
Fractional coordinates of all 3 atoms:
Ag  0.2500  0.2500  0.2500
Pm  0.0000  0.0000  0.0000
Si  0.7500  0.7500  0.7500

Calculated values
Excess energy over the best structure of this formula in the dataset in meV per atom: 719
Electronic total energy in eV/atom: -4.169
SG: No. 216

***

5.
First-principles (PBE) data for a relaxed PmSiAg crystal, as listed in OQMD via LeMat-Bulk.

Cell: 4.6709 4.6709 4.6709 Å, 60.00 60.00 60.00°
Fractional coordinates of all 3 atoms:
Ag  0.2500  0.2500  0.2500
Pm  0.7500  0.7500  0.7500
Si  0.0000  0.0000  0.0000

Calculated values
Excess energy over the best structure of this formula in the dataset in meV per atom: 163
Electronic total energy in eV/atom: -4.724
SG: No. 216

***

6.
First-principles (PBE) data for a relaxed PmSi2Ag2 crystal, as listed in OQMD via LeMat-Bulk.

Cell: 6.1138 6.1123 4.2211 Å, 69.82 69.78 40.39°
Fractional coordinates of all 5 atoms:
Ag  0.2500  0.2500  0.2500
Ag  0.7500  0.7500  0.7500
Pm  0.0000  0.0000  0.0000
Si  0.6085  0.6085  0.3915
Si  0.3915  0.3915  0.6085

Calculated values
Electronic total energy in eV/atom: -4.686
SG: No. 139

***

7.
First-principles (PBE) data for a relaxed Pm2SmAg3 crystal, as listed in OQMD via LeMat-Bulk.

Cell: 3.7008 3.7008 11.1934 Å, 90.00 90.00 90.00°
Fractional coordinates of all 6 atoms:
Ag  0.0000  0.0000  0.0000
Ag  0.0000  0.0000  0.3354
Ag  0.0000  0.0000  0.6646
Pm  0.5000  0.5000  0.1673
Pm  0.5000  0.5000  0.8327
Sm  0.5000  0.5000  0.5000

Calculated values
Energy of formation from the pure elements in eV per atom: -0.287
Electronic total energy in eV/atom: -4.066
SG: No. 123

***

8.
First-principles (PBE) data for a relaxed PmAgSn crystal, as listed in OQMD via LeMat-Bulk.

Cell: 4.7878 4.7878 7.6204 Å, 90.00 90.00 120.01°
Fractional coordinates of all 6 atoms:
Ag  0.8332  0.1668  0.2500
Ag  0.1668  0.8332  0.7500
Pm  0.5000  0.5000  0.0000
Pm  0.5000  0.5000  0.5000
Sn  0.1666  0.8334  0.2500
Sn  0.8334  0.1666  0.7500

Calculated values
Excess energy over the best structure of this formula in the dataset in meV per atom: 0
Electronic total energy in eV/atom: -4.449
SG: No. 194

***

9.
First-principles (PBE) data for a relaxed Pm3Ag4Sn4 crystal, as listed in OQMD via LeMat-Bulk.

Cell: 8.9033 8.9033 8.9033 Å, 149.73 130.93 58.75°
Fractional coordinates of all 11 atoms:
Ag  0.3654  0.1702  0.1952
Ag  0.0250  0.8298  0.1952
Ag  0.9750  0.1702  0.8048
Ag  0.6346  0.8298  0.8048
Pm  0.3715  0.3715  0.0000
Pm  0.6285  0.6285  0.0000
Pm  0.0000  0.5000  0.5000
Sn  0.3048  0.0000  0.3048
Sn  0.7841  0.2841  0.5000
Sn  0.2159  0.7159  0.5000
Sn  0.6952  0.0000  0.6952

Calculated values
Electronic total energy in eV/atom: -4.329
SG: No. 71

***

10.
First-principles (PBE) data for a relaxed PmAgSn crystal, as listed in OQMD via LeMat-Bulk.

Cell: 4.9477 4.9477 4.9477 Å, 60.00 60.00 60.00°
Fractional coordinates of all 3 atoms:
Ag  0.0000  0.0000  0.0000
Pm  0.5000  0.5000  0.5000
Sn  0.7500  0.7500  0.7500

Calculated values
Excess energy over the best structure of this formula in the dataset in meV per atom: 206
Electronic total energy in eV/atom: -4.244
SG: No. 216

***

11.
First-principles (PBE) data for a relaxed SrPmAg crystal, as listed in OQMD via LeMat-Bulk.

Cell: 5.2870 5.2870 5.2870 Å, 60.00 60.00 60.00°
Fractional coordinates of all 3 atoms:
Ag  0.0000  0.0000  0.0000
Pm  0.2500  0.2500  0.2500
Sr  0.7500  0.7500  0.7500

Calculated values
Excess energy over the best structure of this formula in the dataset in meV per atom: 0
Electronic total energy in eV/atom: -3.025
SG: No. 216

***

12.
First-principles (PBE) data for a relaxed PmTaAg crystal, as listed in OQMD via LeMat-Bulk.

Cell: 4.8588 4.8588 4.8588 Å, 60.00 60.00 60.00°
Fractional coordinates of all 3 atoms:
Ag  0.2500  0.2500  0.2500
Pm  0.0000  0.0000  0.0000
Ta  0.7500  0.7500  0.7500

Calculated values
Energy of formation from the pure elements in eV per atom: 1.410
Electronic total energy in eV/atom: -5.064
SG: No. 216

***

13.
First-principles (PBE) data for a relaxed PmTcAg crystal, as listed in OQMD via LeMat-Bulk.

Cell: 4.7150 4.7150 4.7150 Å, 60.00 60.00 60.00°
Fractional coordinates of all 3 atoms:
Ag  0.2500  0.2500  0.2500
Pm  0.0000  0.0000  0.0000
Tc  0.7500  0.7500  0.7500

Calculated values
Energy of formation from the pure elements in eV per atom: 1.116
Electronic total energy in eV/atom: -4.861
SG: No. 216

***

14.
First-principles (PBE) data for a relaxed Pm6AgTe2 crystal, as listed in OQMD via LeMat-Bulk.

Cell: 5.5145 5.5145 12.7124 Å, 90.00 90.00 90.00°
Each line ends with the local moment (μB).
Fractional coordinates of all 9 atoms:
Ag  0.0000  0.0000  0.0000  0.00
Pm  0.5000  0.5000  0.0000  0.12
Pm  0.5000  0.0000  0.1513  0.04
Pm  0.0000  0.5000  0.1513  0.06
Pm  0.5000  0.5000  0.5000  0.04
Pm  0.5000  0.0000  0.8487  0.04
Pm  0.0000  0.5000  0.8487  0.06
Te  0.5000  0.5000  0.2665  0.00
Te  0.5000  0.5000  0.7335  0.00

Calculated values
Electronic total energy in eV/atom: -4.308
SG: No. 123

***

15.
First-principles (PBE) data for a relaxed PmAg3Te3 crystal, as listed in OQMD via LeMat-Bulk.

Cell: 8.6398 8.6398 8.6398 Å, 54.54 54.54 54.54°
Fractional coordinates of all 14 atoms:
Ag  0.7660  0.4852  0.1279
Ag  0.5148  0.8721  0.2340
Ag  0.1279  0.7660  0.4852
Ag  0.8721  0.2340  0.5148
Ag  0.4852  0.1279  0.7660
Ag  0.2340  0.5148  0.8721
Pm  0.3336  0.3336  0.3336
Pm  0.6664  0.6664  0.6664
Te  0.3936  0.7588  0.0742
Te  0.9258  0.6064  0.2412
Te  0.7588  0.0742  0.3936
Te  0.2412  0.9258  0.6064
Te  0.0742  0.3936  0.7588
Te  0.6064  0.2412  0.9258

Calculated values
Electronic total energy in eV/atom: -3.817
SG: No. 148

***

16.
First-principles (PBE) data for a relaxed PmThAg crystal, as listed in OQMD via LeMat-Bulk.

Cell: 5.1072 5.1072 5.1072 Å, 60.00 60.00 60.00°
Fractional coordinates of all 3 atoms:
Ag  0.0000  0.0000  0.0000
Pm  0.2500  0.2500  0.2500
Th  0.7500  0.7500  0.7500

Calculated values
Energy of formation from the pure elements in eV per atom: 0.247
Electronic total energy in eV/atom: -4.747
SG: No. 216

***

17.
First-principles (PBE) data for a relaxed Pm5Tl4Ag crystal, as listed in OQMD via LeMat-Bulk.

Cell: 3.6973 3.6973 20.8140 Å, 90.00 90.00 90.00°
Each line ends with the local moment (μB).
Fractional coordinates of all 10 atoms:
Ag  0.0000  0.0000  0.0000  0.01
Pm  0.5000  0.5000  0.0914  0.07
Pm  0.5000  0.5000  0.2954  -0.01
Pm  0.5000  0.5000  0.5000  0.01
Pm  0.5000  0.5000  0.7046  -0.01
Pm  0.5000  0.5000  0.9086  0.07
Tl  0.0000  0.0000  0.1917  0.00
Tl  0.0000  0.0000  0.3974  0.00
Tl  0.0000  0.0000  0.6026  0.00
Tl  0.0000  0.0000  0.8083  0.00

Calculated values
Electronic total energy in eV/atom: -3.967
SG: No. 123

***

18.
First-principles (PBE) data for a relaxed PmTlAg4 crystal, as listed in OQMD via LeMat-Bulk.

Cell: 5.6415 5.6415 5.6415 Å, 60.00 60.00 60.00°
Fractional coordinates of all 6 atoms:
Ag  0.3750  0.3750  0.3750
Ag  0.8749  0.3750  0.3750
Ag  0.3750  0.8749  0.3750
Ag  0.3750  0.3750  0.8749
Pm  0.7500  0.7500  0.7500
Tl  0.0000  0.0000  0.0000

Calculated values
Electronic total energy in eV/atom: -3.259
SG: No. 216

***

19.
First-principles (PBE) data for a relaxed PmTmAg2 crystal, as listed in OQMD via LeMat-Bulk.

Cell: 3.5967 3.5967 7.4632 Å, 90.00 90.00 90.00°
Each line ends with the local moment (μB).
Fractional coordinates of all 4 atoms:
Ag  0.0000  0.0000  0.2282  0.00
Ag  0.0000  0.0000  0.7718  0.00
Pm  0.5000  0.5000  0.5000  0.07
Tm  0.5000  0.5000  0.0000  -0.01

Calculated values
Energy of formation from the pure elements in eV per atom: -0.316
Electronic total energy in eV/atom: -4.033
SG: No. 123

***

20.
First-principles (PBE) data for a relaxed PmUAg crystal, as listed in OQMD via LeMat-Bulk.

Cell: 4.9043 4.9043 4.9043 Å, 60.00 60.00 60.00°
Fractional coordinates of all 3 atoms:
Ag  0.2500  0.2500  0.2500
Pm  0.7500  0.7500  0.7500
U  0.0000  0.0000  0.0000

Calculated values
Excess energy over the best structure of this formula in the dataset in meV per atom: 0
Energy of formation from the pure elements in eV per atom: 0.972
Electronic total energy in eV/atom: -5.317
SG: No. 216